Entry 1:
NaZr2Sb2: relaxed, GGA-PBE.

abc: 8.066 8.066 3.753
angles: 90.00 90.00 90.00
Positions (direct):
1 Na 0.000 0.000 0.000
2 Na 0.500 0.500 0.000
3 Zr 0.140 0.360 0.500
4 Zr 0.360 0.860 0.500
5 Zr 0.640 0.140 0.500
6 Zr 0.860 0.640 0.500
7 Sb 0.151 0.651 0.000
8 Sb 0.349 0.151 0.000
9 Sb 0.651 0.849 0.000
10 Sb 0.849 0.349 0.000

Computed properties:
- E_form (uncorrected): -223 kJ/mol of formula units
- N(E_F): 11.23 states/eV/cell

Entry 2:
Mg2ScSb: relaxed, GGA-PBE.

abc: 3.349 3.349 8.676
angles: 90.00 90.00 97.43
Positions (direct):
1 Mg 0.000 0.000 0.000
2 Mg 0.500 0.500 0.255
3 Sc 0.000 0.000 0.515
4 Sb 0.500 0.500 0.745

Computed properties:
- E_form (uncorrected): -64 kJ/mol of formula units
- N(E_F): 2.71 states/eV/cell

Entry 3:
Rb2NaTlI6: relaxed, GGA-PBE.

abc: 8.426 8.811 14.538
angles: 90.00 124.16 90.00
Positions (direct):
1 Rb 0.219 0.083 0.248
2 Rb 0.219 0.417 0.748
3 Rb 0.781 0.583 0.252
4 Rb 0.781 0.917 0.752
5 Na 0.000 0.000 0.500
6 Na 0.000 0.500 0.000
7 Tl 0.500 0.000 0.000
8 Tl 0.500 0.500 0.500
9 I 0.157 0.188 0.953
10 I 0.157 0.312 0.453
11 I 0.272 0.704 0.959
12 I 0.272 0.796 0.459
13 I 0.353 0.010 0.756
14 I 0.353 0.490 0.256
15 I 0.647 0.510 0.744
16 I 0.647 0.990 0.244
17 I 0.728 0.204 0.541
18 I 0.728 0.296 0.041
19 I 0.843 0.688 0.547
20 I 0.843 0.812 0.047

Computed properties:
- E_form (uncorrected): -898 kJ/mol of formula units

Number 1: density 6106 kg/m³, V 244.2 Å³/cell. Number 2: density 3705 kg/m³, V 96.5 Å³/cell. Number 3: density 4313 kg/m³, V 893.1 Å³/cell.